! TbTl2Ag GGA-PBE optimized geometry; values from VASP
&SYSTEM
  ibrav = 0, nat = 4, ntyp = 3
/
ATOMIC_SPECIES
Tl 204.38 Tl.upf
Tb 158.93 Tb.upf
Ag 107.87 Ag.upf
CELL_PARAMETERS angstrom
-2.7882 1.7235 -1.6236
0.5365 -1.9832 -3.0265
-4.6729 -5.1567 2.5508
ATOMIC_POSITIONS angstrom
Tl -3.6128 -3.9869 1.9722
Tl -1.0601 -1.1698 0.5787
Tb -3.4623 -2.7082 -1.0496
Ag -1.1259 -0.1299 -2.3251
! Crystal system: tetragonal
! V, Å³ per cell: 99
! Energy relative to the lowest polymorph listed for this composition, eV per atom: 0.141
! Formation enthalpy at 0 K, eV/atom: -0.0960